Compound: BaCo4Ag2
Source: the Alexandria database
Functional: PBE-GGA
Structure: relaxed

Unit cell a=4.844 b=4.844 c=7.433 alpha=70.98 beta=70.98 gamma=90.00
Site moments in Bohr magnetons follow the coordinates.
Fractional coordinates of all 7 atoms:
Co: 0.000 0.500 0.000  1.11
Co: 0.792 0.792 0.416  1.87
Co: 0.500 0.000 0.000  1.11
Co: 0.208 0.208 0.584  1.87
Ag: 0.603 0.603 0.793  0.02
Ag: 0.397 0.397 0.207  0.02
Ba: 0.000 0.000 0.000  -0.15

Computed properties:
E_tot = -23.74 eV for the cell shown